# 1
Nd4SiNiBr2 (PBE, optimized geometry); formation energy without anion corrections = -20.6 kcal/mol of atoms
1.0
-1.1706 3.8982 0.3057
-6.3932 -1.6412 -3.5523
-1.2843 -0.9810 7.5901
Nd Si Ni Br
4 1 1 2
Cartesian
-2.2260 1.3997 0.8753 Nd
-6.6221 -0.1238 3.4682 Nd
-2.6699 -1.1973 5.0431 Nd
-5.0076 -1.4249 -1.0053 Nd
-3.7819 1.1285 -1.6233 Si
0.0000 0.0000 0.0000 Ni
-1.2275 1.4586 3.9479 Br
-3.8388 -1.3111 2.0189 Br

***

# 2
LaHoScZn (PBE, optimized geometry); ΔH_f (0 K) = -0.6 eV per formula unit; E above lowest polymorph = 0.0 kJ per mole of atoms
1.0
-0.4296 -3.3916 -0.7469
1.5720 0.4812 -3.0891
7.6484 -1.7653 3.6172
La Ho Sc Zn
1 1 1 1
Cartesian
0.6553 -0.1512 0.3099 La
6.4430 -2.8105 0.8590 Ho
3.4704 -2.1244 -0.5469 Sc
4.2238 -0.9749 1.9976 Zn

***

# 3
PrHg2Au (PBE, optimized geometry); ΔH_f (0 K) = -1.7 eV per formula unit
1.0
-2.2006 -4.1687 -1.9884
-0.3783 -4.2710 2.7911
-4.5688 -1.5428 1.7090
Pr Au Hg
1 1 2
Cartesian
0.0000 0.0000 0.0000 Pr
-3.5738 -4.9913 1.2558 Au
-1.7869 -2.4956 0.6279 Hg
-5.3607 -7.4869 1.8837 Hg

***

# 4
Sb2RhBr (PBE, optimized geometry); E above lowest polymorph = 39.0 kJ per mole of atoms; formation energy without anion corrections = 1.7 kcal/mol of atoms
1.0
6.6543 0.0160 -0.0040
4.0908 5.2484 0.0040
-4.8982 -3.6004 2.7065
Sb Rh Br
2 1 1
Cartesian
0.6986 0.3423 0.0000 Sb
4.6739 2.2899 0.0000 Sb
2.2826 2.1401 1.3552 Rh
3.5643 -0.4761 1.3512 Br

***

# 5
Li2ZrCr (PBE, optimized geometry); ΔH_f (0 K) = 1.9 eV per formula unit; E above lowest polymorph = 16.0 kJ per mole of atoms
1.0
-1.3211 0.1529 -2.4689
-0.8488 -4.5599 0.1718
-4.7437 0.9810 2.5990
Cr Li Zr
1 2 1
Cartesian
-4.6427 -1.4678 0.8007 Cr
-4.6517 0.9619 2.5486 Li
-2.4639 0.5095 1.3499 Li
-2.2709 -1.9582 -0.4988 Zr

***

# 6
LaTm2Tl (PBE, optimized geometry); ΔH_f (0 K) = -0.7 eV per formula unit; E above lowest polymorph = 0.5 kJ per mole of atoms
1.0
5.2278 0.0000 0.0000
0.0000 6.8263 0.0084
0.0000 -1.8360 6.7475
La Tm Tl
2 4 2
Cartesian
1.3069 0.0877 2.6775 La
3.9208 4.9026 4.0783 La
3.9208 5.5409 0.5577 Tm
1.3069 2.8693 5.1558 Tm
3.9208 2.1209 1.6001 Tm
1.3069 -0.5506 6.1981 Tm
1.3069 3.7331 1.7806 Tl
3.9208 1.2572 4.9753 Tl

***

Short version: DFT total energy = -5.096; -4.421; -2.596; -4.245; -5.022; -4.238 eV per atom, in the order given.